Record 1
DFT (GGA-PBE) results for crystalline Ti2Pt4Rh3 at its relaxed geometry.

Computed properties:
- E (eV/atom) = -7.540

Unit cell a=3.944 b=4.803 c=8.262 alpha=72.87 beta=90.02 gamma=65.75
Fractional positions:
Rh1 0.000 0.000 0.000
Rh2 0.335 0.331 0.456
Rh3 0.665 0.669 0.544
Pt1 0.334 0.333 0.107
Pt2 0.666 0.667 0.893
Pt3 0.996 0.009 0.331
Pt4 0.004 0.991 0.669
Ti1 0.336 0.329 0.777
Ti2 0.664 0.671 0.223

***

Record 2
DFT (GGA-PBE) results for crystalline Zr6InRe at its relaxed geometry.

Computed properties:
- E (eV/atom) = -8.433

Unit cell a=8.182 b=7.651 c=5.601 alpha=46.94 beta=43.05 gamma=57.66
Fractional positions:
Zr1 0.017 0.450 0.772
Zr2 0.239 0.016 0.296
Zr3 0.450 0.761 0.805
Zr4 0.983 0.550 0.228
Zr5 0.761 0.984 0.704
Zr6 0.550 0.239 0.195
Re1 0.000 0.000 0.000
In1 0.500 0.500 0.500

***

Record 3
DFT (GGA-PBE) results for crystalline TiNbO2 at its relaxed geometry.

Computed properties:
- distance to the lowest polymorph of the same formula (meV/atom) = 600
- energy relative to the elements, uncorrected (eV/f.u.) = -5.7

Unit cell a=3.880 b=3.880 c=3.880 alpha=60.00 beta=60.00 gamma=60.00
Fractional positions:
Nb1 0.500 0.500 0.500
O1 0.750 0.750 0.750
O2 0.250 0.250 0.250
Ti1 0.000 0.000 0.000

***

Record 4
DFT (GGA-PBE) results for crystalline Ce4Si3Ru at its relaxed geometry.

Computed properties:
- energy relative to the elements, uncorrected (eV/f.u.) = -4.8

Unit cell a=4.324 b=3.996 c=10.469 alpha=90.00 beta=90.00 gamma=90.00
Fractional positions:
Ce1 0.500 0.000 0.640
Ce2 0.500 0.500 0.341
Ce3 0.000 0.000 0.137
Ce4 0.000 0.500 0.864
Si1 0.000 0.000 0.425
Si2 0.500 0.000 0.935
Si3 0.000 0.500 0.567
Ru1 0.500 0.500 0.091

***

Record 5
DFT (GGA-PBE) results for crystalline Rb2NbSBr5 at its relaxed geometry.

Computed properties:
- energy relative to the elements, uncorrected (eV/f.u.) = -11.4

Unit cell a=7.672 b=7.672 c=7.672 alpha=87.86 beta=121.24 gamma=121.24
Fractional positions:
Br1 0.000 0.245 0.760
Br2 0.515 0.760 0.760
Br3 0.485 0.245 0.245
Br4 0.000 0.233 0.233
Br5 0.000 0.760 0.245
S1 0.000 0.777 0.777
Rb1 0.500 0.751 0.251
Rb2 0.500 0.251 0.751
Nb1 0.000 0.976 0.976

***

Record 6
DFT (GGA-PBE) results for crystalline Cs2P3 at its relaxed geometry.

Computed properties:
- E (eV/atom) = -4.065

Unit cell a=9.194 b=9.039 c=6.978 alpha=68.67 beta=66.33 gamma=44.99
Fractional positions:
Cs1 0.718 0.282 0.718
Cs2 0.282 0.718 0.282
Cs3 0.250 0.250 0.250
Cs4 0.750 0.750 0.750
P1 0.142 0.142 0.858
P2 0.266 0.875 0.734
P3 0.125 0.734 0.875
P4 0.734 0.125 0.266
P5 0.875 0.266 0.125
P6 0.858 0.858 0.142

***

Record 7
DFT (GGA-PBE) results for crystalline Ce2YPu at its relaxed geometry.

Computed properties:
- distance to the lowest polymorph of the same formula (meV/atom) = 93

Unit cell a=5.488 b=5.488 c=5.488 alpha=60.00 beta=60.00 gamma=60.00
Fractional positions:
Ce1 0.750 0.750 0.750
Ce2 0.250 0.250 0.250
Pu1 0.000 0.000 0.000
Y1 0.500 0.500 0.500

***

Record 8
DFT (GGA-PBE) results for crystalline BeNb3V at its relaxed geometry.

Computed properties:
- E (eV/atom) = -7.398

Unit cell a=4.602 b=4.602 c=4.602 alpha=90.00 beta=90.00 gamma=90.00
Fractional positions:
V1 0.000 0.000 0.000
Nb1 0.500 0.000 0.000
Nb2 0.000 0.500 0.000
Nb3 0.000 0.000 0.500
Be1 0.500 0.500 0.500

***

Record 9
DFT (GGA-PBE) results for crystalline YLuTe3 at its relaxed geometry.

Computed properties:
- distance to the lowest polymorph of the same formula (meV/atom) = 47
- energy relative to the elements, uncorrected (eV/f.u.) = -6.7

Unit cell a=8.232 b=8.232 c=8.232 alpha=55.22 beta=55.22 gamma=55.22
Fractional positions:
Te1 0.588 0.217 0.887
Te2 0.717 0.088 0.387
Te3 0.887 0.588 0.217
Te4 0.217 0.887 0.588
Te5 0.088 0.387 0.717
Te6 0.387 0.717 0.088
Y1 0.303 0.303 0.303
Y2 0.803 0.803 0.803
Lu1 0.488 0.488 0.488
Lu2 0.988 0.988 0.988

***

Record 10
DFT (GGA-PBE) results for crystalline Tb2DyUN4 at its relaxed geometry.

Computed properties:
- energy relative to the elements, uncorrected (eV/f.u.) = -12.9

Unit cell a=3.473 b=5.993 c=6.001 alpha=109.01 beta=90.00 gamma=90.00
Fractional positions:
Dy1 0.500 0.500 0.000
N1 0.000 0.237 0.766
N2 0.500 0.762 0.764
N3 0.000 0.763 0.234
N4 0.500 0.238 0.236
Tb1 0.000 0.500 0.500
Tb2 0.500 0.000 0.500
U1 0.000 0.000 0.000

***

Record 11
DFT (GGA-PBE) results for crystalline SrTb2Y3Te6 at its relaxed geometry.

Computed properties:
- energy relative to the elements, uncorrected (eV/f.u.) = -16.4

Unit cell a=4.421 b=8.872 c=9.892 alpha=103.42 beta=102.91 gamma=90.00
Fractional positions:
Tb1 0.828 0.655 0.657
Tb2 0.172 0.345 0.343
Y1 0.500 0.500 0.000
Y2 0.837 0.182 0.674
Y3 0.163 0.818 0.326
Te1 0.336 0.419 0.671
Te2 0.003 0.262 0.007
Te3 0.328 0.917 0.655
Te4 0.672 0.083 0.345
Te5 0.664 0.581 0.329
Te6 0.997 0.738 0.993
Sr1 0.500 0.000 0.000

***

Record 12
DFT (GGA-PBE) results for crystalline Rb2Np2US6 at its relaxed geometry.

Computed properties:
- energy relative to the elements, uncorrected (eV/f.u.) = -15.6

Unit cell a=7.006 b=7.006 c=8.196 alpha=98.23 beta=98.23 gamma=119.93
Fractional positions:
Rb1 0.832 0.168 0.000
Rb2 0.168 0.832 0.000
Np1 0.334 0.666 0.500
Np2 0.666 0.334 0.500
S1 0.060 0.391 0.684
S2 0.734 0.734 0.685
S3 0.391 0.060 0.684
S4 0.266 0.266 0.315
S5 0.609 0.940 0.316
S6 0.940 0.609 0.316
U1 0.000 0.000 0.500